# Li8N2O

A geometry-optimized Li8N2O structure (PBE, the Alexandria database).

The structure in CIF format:
```
data_Li8N2O
_cell_length_a 5.988
_cell_length_b 5.988
_cell_length_c 6.312
_cell_angle_alpha 102.42
_cell_angle_beta 102.42
_cell_angle_gamma 33.77
_space_group_name_H-M_alt 'P 1'
_space_group_IT_number 1
_space_group_name_Hall 'P 1'
loop_
_atom_site_label
_atom_site_type_symbol
_atom_site_fract_x
_atom_site_fract_y
_atom_site_fract_z
Li1 Li 0.073 0.073 0.260
Li2 Li 0.223 0.223 0.591
Li3 Li 0.290 0.290 0.940
Li4 Li 0.411 0.411 0.368
Li5 Li 0.589 0.589 0.632
Li6 Li 0.710 0.710 0.060
Li7 Li 0.777 0.777 0.409
Li8 Li 0.927 0.927 0.740
N1 N 0.237 0.237 0.242
N2 N 0.763 0.763 0.758
O1 O 0.000 0.000 0.500
```

Calculated values
V	122.57	Å³/cell
E_form (uncorrected)	-0.67	eV/atom
SG	C2/m



# LiNO

A geometry-optimized LiNO structure (PBE, the Alexandria database).

The structure in CIF format:
```
data_LiNO
_cell_length_a 3.328
_cell_length_b 3.328
_cell_length_c 7.843
_cell_angle_alpha 102.46
_cell_angle_beta 102.46
_cell_angle_gamma 63.40
_space_group_name_H-M_alt 'P 1'
_space_group_IT_number 1
_space_group_name_Hall 'P 1'
loop_
_atom_site_label
_atom_site_type_symbol
_atom_site_fract_x
_atom_site_fract_y
_atom_site_fract_z
Li1 Li 0.173 0.173 0.382
Li2 Li 0.827 0.827 0.618
N1 N 0.031 0.031 0.073
N2 N 0.969 0.969 0.927
O1 O 0.476 0.476 0.591
O2 O 0.524 0.524 0.409
```

Calculated values
V	75.15	Å³/cell
E_form (uncorrected)	-0.88	eV/atom
SG	C2/m



# Li8NO2

A geometry-optimized Li8NO2 structure (PBE, the Alexandria database).

The structure in CIF format:
```
data_Li8NO2
_cell_length_a 5.961
_cell_length_b 5.961
_cell_length_c 5.885
_cell_angle_alpha 99.77
_cell_angle_beta 99.77
_cell_angle_gamma 33.27
_space_group_name_H-M_alt 'P 1'
_space_group_IT_number 1
_space_group_name_Hall 'P 1'
loop_
_atom_site_label
_atom_site_type_symbol
_atom_site_fract_x
_atom_site_fract_y
_atom_site_fract_z
Li1 Li 0.071 0.071 0.223
Li2 Li 0.191 0.191 0.570
Li3 Li 0.302 0.302 0.939
Li4 Li 0.428 0.428 0.349
Li5 Li 0.572 0.572 0.651
Li6 Li 0.698 0.698 0.061
Li7 Li 0.809 0.809 0.430
Li8 Li 0.929 0.929 0.777
N1 N 0.000 0.000 0.500
O1 O 0.245 0.245 0.243
O2 O 0.755 0.755 0.757
```

Calculated values
V	112.91	Å³/cell
E_form (uncorrected)	-1.05	eV/atom
SG	C2/m



# Li12N2O5

A geometry-optimized Li12N2O5 structure (PBE, the Alexandria database).

The structure in CIF format:
```
data_Li12N2O5
_cell_length_a 7.783
_cell_length_b 7.783
_cell_length_c 5.930
_cell_angle_alpha 111.75
_cell_angle_beta 111.75
_cell_angle_gamma 35.68
_space_group_name_H-M_alt 'P 1'
_space_group_IT_number 1
_space_group_name_Hall 'P 1'
loop_
_atom_site_label
_atom_site_type_symbol
_atom_site_fract_x
_atom_site_fract_y
_atom_site_fract_z
Li1 Li 0.044 0.044 0.249
Li2 Li 0.056 0.597 0.928
Li3 Li 0.081 0.551 0.413
Li4 Li 0.403 0.944 0.072
Li5 Li 0.449 0.919 0.587
Li6 Li 0.454 0.454 0.270
Li7 Li 0.546 0.546 0.730
Li8 Li 0.551 0.081 0.413
Li9 Li 0.597 0.056 0.928
Li10 Li 0.919 0.449 0.587
Li11 Li 0.944 0.403 0.072
Li12 Li 0.956 0.956 0.751
N1 N 0.363 0.637 0.000
N2 N 0.637 0.363 0.000
O1 O 0.000 0.000 0.500
O2 O 0.188 0.188 0.360
O3 O 0.318 0.318 0.144
O4 O 0.682 0.682 0.856
O5 O 0.812 0.812 0.640
```

Calculated values
V	192.99	Å³/cell
E_form (uncorrected)	-1.23	eV/atom
SG	C2/m



# LiOsNO2

A geometry-optimized LiOsNO2 structure (PBE, the Alexandria database).

The structure in CIF format:
```
data_LiOsNO2
_cell_length_a 3.429
_cell_length_b 3.429
_cell_length_c 3.654
_cell_angle_alpha 90.00
_cell_angle_beta 90.00
_cell_angle_gamma 90.00
_space_group_name_H-M_alt 'P 1'
_space_group_IT_number 1
_space_group_name_Hall 'P 1'
loop_
_atom_site_label
_atom_site_type_symbol
_atom_site_fract_x
_atom_site_fract_y
_atom_site_fract_z
Li1 Li 0.000 0.000 0.000
Os1 Os 0.500 0.500 0.500
N1 N 0.000 0.000 0.500
O1 O 0.000 0.500 0.000
O2 O 0.500 0.000 0.000
```

Calculated values
V	42.96	Å³/cell
E_form (uncorrected)	1.03	eV/atom
SG	P4/mmm



# LiOsNO2

A geometry-optimized LiOsNO2 structure (PBE, the Alexandria database).

The structure in CIF format:
```
data_LiOsNO2
_cell_length_a 3.878
_cell_length_b 3.878
_cell_length_c 3.793
_cell_angle_alpha 90.00
_cell_angle_beta 90.00
_cell_angle_gamma 90.00
_space_group_name_H-M_alt 'P 1'
_space_group_IT_number 1
_space_group_name_Hall 'P 1'
loop_
_atom_site_label
_atom_site_type_symbol
_atom_site_fract_x
_atom_site_fract_y
_atom_site_fract_z
Li1 Li 0.000 0.000 0.000
Os1 Os 0.500 0.500 0.500
N1 N 0.500 0.500 0.000
O1 O 0.000 0.500 0.500
O2 O 0.500 0.000 0.500
```

Calculated values
V	57.03	Å³/cell
E_form (uncorrected)	-0.59	eV/atom
SG	P4/mmm



# LiPNO2

A geometry-optimized LiPNO2 structure (PBE, the Alexandria database).

The structure in CIF format:
```
data_LiPNO2
_cell_length_a 3.481
_cell_length_b 3.481
_cell_length_c 4.006
_cell_angle_alpha 90.00
_cell_angle_beta 90.00
_cell_angle_gamma 90.00
_space_group_name_H-M_alt 'P 1'
_space_group_IT_number 1
_space_group_name_Hall 'P 1'
loop_
_atom_site_label
_atom_site_type_symbol
_atom_site_fract_x
_atom_site_fract_y
_atom_site_fract_z
Li1 Li 0.000 0.000 0.000
P1 P 0.500 0.500 0.500
N1 N 0.000 0.000 0.500
O1 O 0.000 0.500 0.000
O2 O 0.500 0.000 0.000
```

Calculated values
V	48.54	Å³/cell
E_form (uncorrected)	0.97	eV/atom
SG	P4/mmm



# LiPNO2

A geometry-optimized LiPNO2 structure (PBE, the Alexandria database).

The structure in CIF format:
```
data_LiPNO2
_cell_length_a 3.233
_cell_length_b 3.233
_cell_length_c 5.288
_cell_angle_alpha 90.00
_cell_angle_beta 90.00
_cell_angle_gamma 90.00
_space_group_name_H-M_alt 'P 1'
_space_group_IT_number 1
_space_group_name_Hall 'P 1'
loop_
_atom_site_label
_atom_site_type_symbol
_atom_site_fract_x
_atom_site_fract_y
_atom_site_fract_z
Li1 Li 0.000 0.000 0.000
P1 P 0.000 0.000 0.500
N1 N 0.500 0.500 0.500
O1 O 0.000 0.500 0.000
O2 O 0.500 0.000 0.000
```

Calculated values
V	55.28	Å³/cell
E_form (uncorrected)	1.15	eV/atom
SG	P4/mmm



# LiPNO2

A geometry-optimized LiPNO2 structure (PBE, the Alexandria database).

The structure in CIF format:
```
data_LiPNO2
_cell_length_a 3.488
_cell_length_b 3.488
_cell_length_c 3.337
_cell_angle_alpha 90.00
_cell_angle_beta 90.00
_cell_angle_gamma 90.00
_space_group_name_H-M_alt 'P 1'
_space_group_IT_number 1
_space_group_name_Hall 'P 1'
loop_
_atom_site_label
_atom_site_type_symbol
_atom_site_fract_x
_atom_site_fract_y
_atom_site_fract_z
Li1 Li 0.000 0.000 0.000
P1 P 0.500 0.500 0.500
N1 N 0.500 0.500 0.000
O1 O 0.000 0.500 0.500
O2 O 0.500 0.000 0.500
```

Calculated values
V	40.59	Å³/cell
E_form (uncorrected)	-0.79	eV/atom
SG	P4/mmm



# LiPNO2

A geometry-optimized LiPNO2 structure (PBE, the Alexandria database).

The structure in CIF format:
```
data_LiPNO2
_cell_length_a 3.979
_cell_length_b 3.979
_cell_length_c 3.467
_cell_angle_alpha 90.00
_cell_angle_beta 90.00
_cell_angle_gamma 90.00
_space_group_name_H-M_alt 'P 1'
_space_group_IT_number 1
_space_group_name_Hall 'P 1'
loop_
_atom_site_label
_atom_site_type_symbol
_atom_site_fract_x
_atom_site_fract_y
_atom_site_fract_z
Li1 Li 0.000 0.000 0.000
P1 P 0.500 0.500 0.000
N1 N 0.500 0.500 0.500
O1 O 0.000 0.500 0.500
O2 O 0.500 0.000 0.500
```

Calculated values
V	54.89	Å³/cell
E_form (uncorrected)	0.67	eV/atom
SG	P4/mmm



# LiP2NO

A geometry-optimized LiP2NO structure (PBE, the Alexandria database).

The structure in CIF format:
```
data_LiP2NO
_cell_length_a 4.292
_cell_length_b 4.292
_cell_length_c 3.207
_cell_angle_alpha 90.00
_cell_angle_beta 90.00
_cell_angle_gamma 90.00
_space_group_name_H-M_alt 'P 1'
_space_group_IT_number 1
_space_group_name_Hall 'P 1'
loop_
_atom_site_label
_atom_site_type_symbol
_atom_site_fract_x
_atom_site_fract_y
_atom_site_fract_z
Li1 Li 0.000 0.000 0.000
P1 P 0.000 0.500 0.000
P2 P 0.500 0.000 0.000
N1 N 0.500 0.500 0.500
O1 O 0.000 0.000 0.500
```

Calculated values
V	59.07	Å³/cell
energy relative to the lowest polymorph listed for this composition	0.613	eV per atom
E_form (uncorrected)	1.36	eV/atom
SG	P4/mmm



# LiPNO

A geometry-optimized LiPNO structure (PBE, the Alexandria database).

The structure in CIF format:
```
data_LiPNO
_cell_length_a 9.906
_cell_length_b 9.906
_cell_length_c 9.906
_cell_angle_alpha 18.28
_cell_angle_beta 18.28
_cell_angle_gamma 18.28
_space_group_name_H-M_alt 'P 1'
_space_group_IT_number 1
_space_group_name_Hall 'P 1'
loop_
_atom_site_label
_atom_site_type_symbol
_atom_site_fract_x
_atom_site_fract_y
_atom_site_fract_z
Li1 Li 0.000 0.000 0.000
Li2 Li 0.500 0.500 0.500
P1 P 0.241 0.241 0.241
P2 P 0.759 0.759 0.759
N1 N 0.112 0.112 0.112
N2 N 0.888 0.888 0.888
O1 O 0.293 0.293 0.293
O2 O 0.707 0.707 0.707
```

Calculated values
V	83.54	Å³/cell
E_form (uncorrected)	-0.82	eV/atom
SG	R-3m